(1)
Entry from Alexandria: a geometry-optimized CoCu structure (PBE-GGA).

The calculation puts the energy of formation at 0.6 eV/f.u. For the density of states at the Fermi level, the calculation gives 9.70 states/eV per cell.

The structure belongs to space group I4/mmm (No. 139); the cell edges are 7.372, 7.372 and 3.607 Å and the angles 90.00°, 90.00° and 90.00°. The inequivalent atoms are Co at (0.161, 0.161, 0.000) and Cu at (0.000, 0.324, 0.500).

***

(2)
Entry from Alexandria: a geometry-optimized Co2Cu structure (PBE-GGA).

The calculation puts the energy of formation at 1.2 eV/f.u. For the density of states at the Fermi level, the calculation gives 12.83 states/eV per cell.

The structure belongs to space group I4/mcm (No. 140); the cell edges are 5.604, 5.604 and 4.556 Å and the angles 90.00°, 90.00° and 90.00°. The inequivalent atoms are Co at (0.141, 0.359, 0.000) and Cu at (0.000, 0.000, 0.250).

***

(3)
Entry from Alexandria: a geometry-optimized CoCu2 structure (PBE-GGA).

The calculation puts the energy of formation at 2.8 eV/f.u. For the density of states at the Fermi level, the calculation gives 18.49 states/eV per cell.

The structure belongs to space group Pa-3 (No. 205); the cell edges are 5.579, 5.579 and 5.579 Å and the angles 90.00°, 90.00° and 90.00°. The inequivalent atoms are Co at (0.000, 0.000, 0.000) and Cu at (0.128, 0.628, 0.872).